Entry 1:
A plane-wave DFT calculation with PBE-GGA was carried out for an optimized crystal structure of LiCrCl2.

The structure belongs to space group C2/m (No. 12); the cell edges are 7.203, 7.122 and 4.050 Å and the angles 90.00°, 115.49° and 90.00°. Symmetry generates all atoms from Li at (0.000, 0.000, 0.000), Cr at (0.000, 0.500, 0.000) and Cl at (0.250, 0.250, 0.000).

The formation energy from raw total energies comes out at -0.82 eV/atom. The energy above the most stable polymorph in this dataset is 0.85 eV per formula unit. The crystal system is monoclinic. The calculation puts the size of the total moment at 4.91 μB/f.u.

Entry 2:
A plane-wave DFT calculation with PBE-GGA was carried out for an optimized crystal structure of BaCdPb2.

The structure belongs to space group I-42d (No. 122); the cell edges are 5.382, 5.382 and 21.194 Å and the angles 90.00°, 90.00° and 90.00°. Symmetry generates all atoms from Ba at (0.000, 0.000, 0.000), Cd at (0.000, 0.000, 0.500) and Pb at (0.166, 0.250, 0.625).

The energy relative to the elements is -165 meV per atom. The crystal system is tetragonal. The calculation puts the size of the total moment at 0.00 μB/f.u.

Entry 3:
A plane-wave DFT calculation with PBE-GGA was carried out for an optimized crystal structure of Zr2VAgH.

The structure belongs to space group P4/mmm (No. 123); the cell edges are 4.588, 4.588 and 3.756 Å and the angles 90.00°, 90.00° and 90.00°. Symmetry generates all atoms from Zr at (0.000, 0.500, 0.000), V at (0.000, 0.000, 0.500), Ag at (0.500, 0.500, 0.500) and H at (0.000, 0.000, 0.000).

The total energy is -6.518 eV/atom. The crystal system is tetragonal. The calculation puts the size of the total moment at 1.17 μB/f.u.

Entry 4:
A plane-wave DFT calculation with PBE-GGA was carried out for an optimized crystal structure of HoCrN2.

The structure belongs to space group R-3m (No. 166, hexagonal axes); the cell edges are 3.2338, 3.2338 and 15.1342 Å and the angles 90.00°, 90.00° and 120.00°. Symmetry generates all atoms from Ho at (0.0000, 0.0000, 0.0000), Cr at (0.0000, 0.0000, 0.5000) and N at (0.0000, 0.0000, 0.2386).

The formation energy from raw total energies comes out at -1.01 eV/atom. The crystal system is trigonal. The calculation puts the size of the total moment at 2.74 μB/f.u.

Entry 5:
A plane-wave DFT calculation with PBE-GGA was carried out for an optimized crystal structure of Y3Ho4Er4.

The structure belongs to space group C2/m (No. 12); the cell edges are 18.411, 11.122 and 3.530 Å and the angles 90.00°, 100.99° and 90.00°. Symmetry generates all atoms from Y at (0.000, 0.000, 0.000), Y at (0.109, 0.500, 0.109), Ho at (0.000, 0.293, 0.500), Ho at (0.222, 0.000, 0.222) and Er at (0.171, 0.240, 0.671).

The energy relative to the elements is 177 meV per atom. The energy above the most stable polymorph in this dataset is 0.29 eV per formula unit. The crystal system is monoclinic. The calculation puts the size of the total moment at 0.16 μB/f.u.

Entry 6:
A plane-wave DFT calculation with PBE-GGA was carried out for an optimized crystal structure of GaMoCl3.

The structure belongs to space group Pm-3m (No. 221); the cell edges are 5.013, 5.013 and 5.013 Å and the angles 90.00°, 90.00° and 90.00°. Symmetry generates all atoms from Ga at (0.000, 0.000, 0.000), Mo at (0.500, 0.500, 0.500) and Cl at (0.000, 0.000, 0.500).

The formation energy from raw total energies comes out at 0.20 eV/atom. The energy above the most stable polymorph in this dataset is 2.75 eV per formula unit. The crystal system is cubic. The calculation puts the size of the total moment at 4.95 μB/f.u.

- Number 5 is which compound?
  Y3Ho4Er4